Record 1
The following is a DFT calculation (PBE) of a relaxed structure of V3AsW.

a b c (Å): 4.3977 4.3977 4.3977
angles (deg): 90.00 90.00 90.00
Element x y z (fractional)
V 0.0000 0.0000 0.5000
V 0.0000 0.5000 0.0000
V 0.5000 0.0000 0.0000
As 0.0000 0.0000 0.0000
W 0.5000 0.5000 0.5000

Output
Formation energy   0.9580 eV per atom
ΔE to the lowest computed polymorph   941 meV/atom
Spin magnetization   0.00 μB/f.u.
Raw total energy   -40.2 eV per cell
Density of states at the Fermi level   6.67 states/eV/f.u.

***

Record 2
The following is a DFT calculation (PBE) of a relaxed structure of VAs2W.

a b c (Å): 9.0431 9.0431 9.0431
angles (deg): 18.59 18.59 18.59
Element x y z (fractional)
V 0.0000 0.0000 0.0000
As 0.4024 0.4024 0.4024
As 0.5976 0.5976 0.5976
W 0.5000 0.5000 0.5000

Output
Formation energy   0.1832 eV per atom
ΔE to the lowest computed polymorph   169 meV/atom
Spin magnetization   0.00 μB/f.u.
Raw total energy   -30.6 eV per cell
Density of states at the Fermi level   3.82 states/eV/f.u.

***

Record 3
The following is a DFT calculation (PBE) of a relaxed structure of VAsW.

a b c (Å): 4.7751 4.7751 4.7751
angles (deg): 140.08 140.08 57.73
Element x y z (fractional)
V 0.0000 0.0000 0.0000
As 0.3350 0.3350 0.0000
W 0.6647 0.6647 0.0000

Output
Formation energy   0.0635 eV per atom
ΔE to the lowest computed polymorph   52 meV/atom
Spin magnetization   0.00 μB/f.u.
Raw total energy   -26.5 eV per cell
Density of states at the Fermi level   3.18 states/eV/f.u.